{"formula": "BaNa2U2S7", "functional": "GGA-PBE", "state": "relaxed", "cell": [[-2.6182, 2.6217, 11.9901], [2.6182, -2.6217, 11.9901], [2.6182, 2.6217, -11.9901]], "species": ["Ba", "Na", "Na", "U", "U", "S", "S", "S", "S", "S", "S", "S"], "fractional_positions": [[0.0000, 0.0000, 0.0000], [0.2489, 0.7489, 0.5000], [0.7511, 0.2511, 0.5000], [0.3921, 0.3921, 0.0000], [0.6079, 0.6079, 0.0000], [0.0985, 0.5985, 0.5000], [0.2873, 0.2873, 0.0000], [0.4017, 0.9017, 0.5000], [0.5000, 0.5000, 0.0000], [0.5983, 0.0983, 0.5000], [0.7127, 0.7127, 0.0000], [0.9015, 0.4015, 0.5000]], "raw_formation_energy_kj_per_mol_fu": -1621, "m_tot_mub_per_atom": 0.17}